# MoIr2O6 PBE+U relaxed
# **Raw total energy**: -189.85 eV for the cell shown
# **DOS at the Fermi energy**: 3.806 states/eV/f.u.
data_MoIr2O6
_cell_length_a 8.7191
_cell_length_b 8.7191
_cell_length_c 4.5627
_cell_angle_alpha 90.00
_cell_angle_beta 90.00
_cell_angle_gamma 120.00
_space_group_name_H-M_alt 'P 3 2 1'
_space_group_IT_number 150
loop_
_space_group_symop_operation_xyz
'x,y,z'
'-y,x-y,z'
'-x+y,-x,z'
'y,x,-z'
'x-y,-y,-z'
'-x,-x+y,-z'
loop_
_atom_site_label
_atom_site_type_symbol
_atom_site_fract_x
_atom_site_fract_y
_atom_site_fract_z
_atom_site_occupancy
Mo1 Mo 0.0000 0.0000 0.0000 1
Mo2 Mo 0.3333 0.6667 0.4957 1
Ir1 Ir 0.0000 0.3405 0.0000 1
Ir2 Ir 0.0000 0.6732 0.5000 1
O1 O 0.1078 0.2215 0.2490 1
O2 O 0.1136 0.5626 0.2440 1
O3 O 0.2180 0.4463 0.7455 1